## PmGdYZn (PBE)

Data for a geometry-optimized PmGdYZn structure.

calculated total energy = -105.176 eV/cell
density of states at the Fermi level = 20.115 states/eV/cell
total magnetization = 7.97 μB per formula unit
formation enthalpy at 0 K = 0.07 eV per atom

Geometry as CIF:
```
data_PmGdYZn
_chemical_formula_sum 'Pm4 Gd4 Y4 Zn4'
_cell_length_a 7.630
_cell_length_b 7.630
_cell_length_c 7.630
_cell_angle_alpha 90.00
_cell_angle_beta 90.00
_cell_angle_gamma 90.00
_space_group_name_H-M_alt 'F -4 3 m'
_space_group_IT_number 216
_space_group_name_Hall 'F -4 2 3'
loop_
_atom_site_label
_atom_site_type_symbol
_atom_site_fract_x
_atom_site_fract_y
_atom_site_fract_z
_atom_site_occupancy
Pm1 Pm 0.000 0.000 0.000 1
Gd1 Gd 0.250 0.250 0.750 1
Y1 Y 0.250 0.250 0.250 1
Zn1 Zn 0.000 0.000 0.500 1
```